No. 1
An optimized crystal structure of Sr2ZnSe. Source: OQMD via LeMat-Bulk, functional PBE.

Output
- Volume: 32.72 Å³ per atom
- Polymorph energy (0 for the lowest one): 128 meV/atom
- Electronic total energy: -2.92 eV per atom
- Space-group type: Pmc2_1

CIF file:
```
data_Sr2ZnSe
_chemical_formula_sum 'Sr4 Zn2 Se2'
_space_group_name_H-M_alt 'P 1'
_space_group_IT_number 1
_space_group_name_Hall 'P 1'
_cell_length_a 4.527
_cell_length_b 4.529
_cell_length_c 12.765
_cell_angle_alpha 90.00
_cell_angle_beta 90.00
_cell_angle_gamma 90.00
loop_
_atom_site_label
_atom_site_type_symbol
_atom_site_fract_x
_atom_site_fract_y
_atom_site_fract_z
Se1 Se 0.000 0.502 0.375
Se2 Se 0.000 0.498 0.875
Sr1 Sr 0.000 0.502 0.125
Sr2 Sr 0.500 0.003 0.375
Sr3 Sr 0.000 0.498 0.625
Sr4 Sr 0.500 0.997 0.875
Zn1 Zn 0.500 0.002 0.125
Zn2 Zn 0.500 0.998 0.625
```

No. 2
An optimized crystal structure of La2NdCo2B2N3. Source: OQMD via LeMat-Bulk, functional PBE.

Output
- Volume: 13.61 Å³ per atom
- Electronic total energy: -7.74 eV per atom
- Size of the total moment: 0.00 μB per formula unit
- Space-group type: I4/mmm

CIF file:
```
data_La2NdCo2B2N3
_chemical_formula_sum 'La2 Nd1 Co2 B2 N3'
_space_group_name_H-M_alt 'P 1'
_space_group_IT_number 1
_space_group_name_Hall 'P 1'
_cell_length_a 10.305
_cell_length_b 10.305
_cell_length_c 10.305
_cell_angle_alpha 159.34
_cell_angle_beta 159.34
_cell_angle_gamma 29.38
loop_
_atom_site_label
_atom_site_type_symbol
_atom_site_fract_x
_atom_site_fract_y
_atom_site_fract_z
B1 B 0.199 0.199 0.000
B2 B 0.801 0.801 0.000
Co1 Co 0.750 0.250 0.500
Co2 Co 0.250 0.750 0.500
La1 La 0.370 0.370 0.000
La2 La 0.630 0.630 0.000
N1 N 0.125 0.125 0.000
N2 N 0.500 0.500 0.000
N3 N 0.875 0.875 0.000
Nd1 Nd 0.000 0.000 0.000
```

No. 3
An optimized crystal structure of HgS2O7. Source: OQMD via LeMat-Bulk, functional PBE.

Output
- Volume: 13.25 Å³ per atom
- Electronic total energy: -5.36 eV per atom
- Space-group type: P2_1/c

CIF file:
```
data_HgS2O7
_chemical_formula_sum 'Hg4 S8 O28'
_space_group_name_H-M_alt 'P 1'
_space_group_IT_number 1
_space_group_name_Hall 'P 1'
_cell_length_a 5.094
_cell_length_b 12.835
_cell_length_c 9.340
_cell_angle_alpha 90.00
_cell_angle_beta 119.78
_cell_angle_gamma 90.00
loop_
_atom_site_label
_atom_site_type_symbol
_atom_site_fract_x
_atom_site_fract_y
_atom_site_fract_z
Hg1 Hg 0.342 0.160 0.169
Hg2 Hg 0.658 0.660 0.331
Hg3 Hg 0.342 0.340 0.669
Hg4 Hg 0.658 0.840 0.831
O1 O 0.549 0.666 0.056
O2 O 0.996 0.301 0.059
O3 O 0.718 0.887 0.094
O4 O 0.920 0.062 0.110
O5 O 0.809 0.446 0.157
O6 O 0.306 0.515 0.221
O7 O 0.750 0.264 0.222
O8 O 0.250 0.764 0.278
O9 O 0.694 0.015 0.279
O10 O 0.191 0.946 0.343
O11 O 0.080 0.562 0.390
O12 O 0.282 0.387 0.406
O13 O 0.004 0.801 0.441
O14 O 0.451 0.166 0.444
O15 O 0.549 0.834 0.556
O16 O 0.996 0.199 0.559
O17 O 0.718 0.613 0.594
O18 O 0.920 0.438 0.610
O19 O 0.809 0.054 0.657
O20 O 0.306 0.985 0.721
O21 O 0.750 0.236 0.722
O22 O 0.250 0.736 0.778
O23 O 0.694 0.485 0.779
O24 O 0.191 0.554 0.843
O25 O 0.080 0.938 0.890
O26 O 0.282 0.113 0.906
O27 O 0.004 0.699 0.941
O28 O 0.451 0.334 0.944
S1 S 0.750 0.326 0.089
S2 S 0.852 0.980 0.194
S3 S 0.148 0.480 0.306
S4 S 0.250 0.826 0.411
S5 S 0.750 0.174 0.589
S6 S 0.852 0.520 0.694
S7 S 0.148 0.020 0.806
S8 S 0.250 0.674 0.911
```

No. 4
An optimized crystal structure of Dy2Y2CI2Br2Cl. Source: OQMD via LeMat-Bulk, functional PBE.

Output
- Volume: 28.14 Å³ per atom
- Polymorph energy (0 for the lowest one): 0 meV/atom
- Electronic total energy: -5.31 eV per atom
- Size of the total moment: 0.02 μB per formula unit
- Space-group type: C2/m

CIF file:
```
data_Dy2Y2CI2Br2Cl
_chemical_formula_sum 'Dy2 Y2 C1 I2 Br2 Cl1'
_space_group_name_H-M_alt 'P 1'
_space_group_IT_number 1
_space_group_name_Hall 'P 1'
_cell_length_a 9.515
_cell_length_b 9.515
_cell_length_c 8.027
_cell_angle_alpha 102.00
_cell_angle_beta 102.00
_cell_angle_gamma 23.34
loop_
_atom_site_label
_atom_site_type_symbol
_atom_site_fract_x
_atom_site_fract_y
_atom_site_fract_z
Br1 Br 0.157 0.157 0.340
Br2 Br 0.843 0.843 0.660
C1 C 0.500 0.500 0.000
Cl1 Cl 0.500 0.500 0.500
Dy1 Dy 0.632 0.632 0.071
Dy2 Dy 0.368 0.368 0.929
I1 I 0.830 0.830 0.193
I2 I 0.170 0.170 0.807
Y1 Y 0.999 0.999 0.206
Y2 Y 0.001 0.001 0.794
```

No. 5
An optimized crystal structure of YFeOs2. Source: OQMD via LeMat-Bulk, functional PBE.

Output
- Volume: 16.23 Å³ per atom
- Electronic total energy: -8.95 eV per atom
- Size of the total moment: 3.07 μB per formula unit
- Space-group type: F-43m

CIF file:
```
data_YFeOs2
_chemical_formula_sum 'Y1 Fe1 Os2'
_space_group_name_H-M_alt 'P 1'
_space_group_IT_number 1
_space_group_name_Hall 'P 1'
_cell_length_a 4.511
_cell_length_b 4.511
_cell_length_c 4.511
_cell_angle_alpha 60.00
_cell_angle_beta 60.00
_cell_angle_gamma 60.00
loop_
_atom_site_label
_atom_site_type_symbol
_atom_site_fract_x
_atom_site_fract_y
_atom_site_fract_z
Fe1 Fe 0.250 0.250 0.250
Os1 Os 0.000 0.000 0.000
Os2 Os 0.750 0.750 0.750
Y1 Y 0.500 0.500 0.500
```

No. 6
An optimized crystal structure of Fe3B. Source: OQMD via LeMat-Bulk, functional PBE.

Output
- Volume: 9.80 Å³ per atom
- Electronic total energy: -8.12 eV per atom
- Size of the total moment: 6.03 μB per formula unit
- Space-group type: Pnma

CIF file:
```
data_Fe3B
_chemical_formula_sum 'Fe12 B4'
_space_group_name_H-M_alt 'P 1'
_space_group_IT_number 1
_space_group_name_Hall 'P 1'
_cell_length_a 5.406
_cell_length_b 6.647
_cell_length_c 4.365
_cell_angle_alpha 90.00
_cell_angle_beta 90.00
_cell_angle_gamma 90.00
loop_
_atom_site_label
_atom_site_type_symbol
_atom_site_fract_x
_atom_site_fract_y
_atom_site_fract_z
B1 B 0.382 0.250 0.075
B2 B 0.882 0.250 0.425
B3 B 0.118 0.750 0.575
B4 B 0.618 0.750 0.925
Fe1 Fe 0.981 0.750 0.117
Fe2 Fe 0.675 0.055 0.148
Fe3 Fe 0.675 0.445 0.148
Fe4 Fe 0.175 0.055 0.352
Fe5 Fe 0.175 0.445 0.352
Fe6 Fe 0.481 0.750 0.383
Fe7 Fe 0.519 0.250 0.617
Fe8 Fe 0.825 0.555 0.648
Fe9 Fe 0.825 0.945 0.648
Fe10 Fe 0.325 0.555 0.852
Fe11 Fe 0.325 0.945 0.852
Fe12 Fe 0.019 0.250 0.883
```

No. 7
An optimized crystal structure of NdCdInSe3. Source: OQMD via LeMat-Bulk, functional PBE.

Output
- Volume: 27.28 Å³ per atom
- Polymorph energy (0 for the lowest one): 43 meV/atom
- Electronic total energy: -4.11 eV per atom
- Size of the total moment: 0.00 μB per formula unit
- Space-group type: Pnma

CIF file:
```
data_NdCdInSe3
_chemical_formula_sum 'Nd4 Cd4 In4 Se12'
_space_group_name_H-M_alt 'P 1'
_space_group_IT_number 1
_space_group_name_Hall 'P 1'
_cell_length_a 8.259
_cell_length_b 4.496
_cell_length_c 17.633
_cell_angle_alpha 90.00
_cell_angle_beta 90.00
_cell_angle_gamma 90.00
loop_
_atom_site_label
_atom_site_type_symbol
_atom_site_fract_x
_atom_site_fract_y
_atom_site_fract_z
Cd1 Cd 0.908 0.750 0.157
Cd2 Cd 0.408 0.750 0.343
Cd3 Cd 0.592 0.250 0.657
Cd4 Cd 0.092 0.250 0.843
In1 In 0.548 0.250 0.199
In2 In 0.048 0.250 0.301
In3 In 0.952 0.750 0.699
In4 In 0.452 0.750 0.801
Nd1 Nd 0.266 0.750 0.040
Nd2 Nd 0.766 0.750 0.460
Nd3 Nd 0.234 0.250 0.540
Nd4 Nd 0.734 0.250 0.960
Se1 Se 0.627 0.750 0.059
Se2 Se 0.006 0.250 0.080
Se3 Se 0.262 0.750 0.209
Se4 Se 0.762 0.750 0.291
Se5 Se 0.506 0.250 0.420
Se6 Se 0.127 0.750 0.441
Se7 Se 0.873 0.250 0.559
Se8 Se 0.494 0.750 0.580
Se9 Se 0.238 0.250 0.709
Se10 Se 0.738 0.250 0.791
Se11 Se 0.994 0.750 0.920
Se12 Se 0.373 0.250 0.941
```

No. 8
An optimized crystal structure of NaSnHg. Source: OQMD via LeMat-Bulk, functional PBE.

Output
- Volume: 28.21 Å³ per atom
- Polymorph energy (0 for the lowest one): 292 meV/atom
- Electronic total energy: -1.72 eV per atom
- Space-group type: F-43m

CIF file:
```
data_NaSnHg
_chemical_formula_sum 'Na1 Sn1 Hg1'
_space_group_name_H-M_alt 'P 1'
_space_group_IT_number 1
_space_group_name_Hall 'P 1'
_cell_length_a 4.928
_cell_length_b 4.928
_cell_length_c 4.928
_cell_angle_alpha 60.00
_cell_angle_beta 60.00
_cell_angle_gamma 60.00
loop_
_atom_site_label
_atom_site_type_symbol
_atom_site_fract_x
_atom_site_fract_y
_atom_site_fract_z
Hg1 Hg 0.250 0.250 0.250
Na1 Na 0.000 0.000 0.000
Sn1 Sn 0.750 0.750 0.750
```

No. 9
An optimized crystal structure of RbTe2IrAuS. Source: OQMD via LeMat-Bulk, functional PBE.

Output
- Volume: 28.73 Å³ per atom
- Electronic total energy: -4.06 eV per atom
- Size of the total moment: 0.01 μB per formula unit
- Space-group type: Cmcm

CIF file:
```
data_RbTe2IrAuS
_chemical_formula_sum 'Rb2 Te4 Ir2 Au2 S2'
_space_group_name_H-M_alt 'P 1'
_space_group_IT_number 1
_space_group_name_Hall 'P 1'
_cell_length_a 8.476
_cell_length_b 8.476
_cell_length_c 10.327
_cell_angle_alpha 90.00
_cell_angle_beta 90.00
_cell_angle_gamma 152.31
loop_
_atom_site_label
_atom_site_type_symbol
_atom_site_fract_x
_atom_site_fract_y
_atom_site_fract_z
Au1 Au 0.556 0.444 0.250
Au2 Au 0.444 0.556 0.750
Ir1 Ir 0.000 0.000 0.000
Ir2 Ir 0.000 0.000 0.500
Rb1 Rb 0.239 0.761 0.250
Rb2 Rb 0.761 0.239 0.750
S1 S 0.958 0.042 0.250
S2 S 0.042 0.958 0.750
Te1 Te 0.608 0.392 0.006
Te2 Te 0.608 0.392 0.494
Te3 Te 0.392 0.608 0.506
Te4 Te 0.392 0.608 0.994
```

No. 10
An optimized crystal structure of Nb4PbSN2. Source: OQMD via LeMat-Bulk, functional PBE.

Output
- Volume: 15.18 Å³ per atom
- Electronic total energy: -8.71 eV per atom
- Size of the total moment: 0.00 μB per formula unit
- Space-group type: P-6m2

CIF file:
```
data_Nb4PbSN2
_chemical_formula_sum 'Nb4 Pb1 S1 N2'
_space_group_name_H-M_alt 'P 1'
_space_group_IT_number 1
_space_group_name_Hall 'P 1'
_cell_length_a 3.346
_cell_length_b 3.346
_cell_length_c 12.523
_cell_angle_alpha 90.00
_cell_angle_beta 90.00
_cell_angle_gamma 120.00
loop_
_atom_site_label
_atom_site_type_symbol
_atom_site_fract_x
_atom_site_fract_y
_atom_site_fract_z
N1 N 0.333 0.667 0.269
N2 N 0.333 0.667 0.731
Nb1 Nb 0.667 0.333 0.192
Nb2 Nb 0.000 0.000 0.361
Nb3 Nb 0.000 0.000 0.639
Nb4 Nb 0.667 0.333 0.808
Pb1 Pb 0.000 0.000 0.000
S1 S 0.667 0.333 0.500
```

No. 11
An optimized crystal structure of Ga2MoOs. Source: OQMD via LeMat-Bulk, functional PBE.

Output
- Volume: 15.10 Å³ per atom
- Electronic total energy: -6.82 eV per atom
- Size of the total moment: 0.03 μB per formula unit
- Space-group type: F-43m

CIF file:
```
data_Ga2MoOs
_chemical_formula_sum 'Ga2 Mo1 Os1'
_space_group_name_H-M_alt 'P 1'
_space_group_IT_number 1
_space_group_name_Hall 'P 1'
_cell_length_a 4.404
_cell_length_b 4.404
_cell_length_c 4.404
_cell_angle_alpha 60.00
_cell_angle_beta 60.00
_cell_angle_gamma 60.00
loop_
_atom_site_label
_atom_site_type_symbol
_atom_site_fract_x
_atom_site_fract_y
_atom_site_fract_z
Ga1 Ga 0.000 0.000 0.000
Ga2 Ga 0.250 0.250 0.250
Mo1 Mo 0.750 0.750 0.750
Os1 Os 0.500 0.500 0.500
```

No. 12
An optimized crystal structure of TmTlPd. Source: OQMD via LeMat-Bulk, functional PBE.

Output
- Volume: 24.73 Å³ per atom
- Electronic total energy: -4.52 eV per atom
- Size of the total moment: 0.04 μB per formula unit
- Space-group type: F-43m

CIF file:
```
data_TmTlPd
_chemical_formula_sum 'Tm1 Tl1 Pd1'
_space_group_name_H-M_alt 'P 1'
_space_group_IT_number 1
_space_group_name_Hall 'P 1'
_cell_length_a 4.717
_cell_length_b 4.717
_cell_length_c 4.717
_cell_angle_alpha 60.00
_cell_angle_beta 60.00
_cell_angle_gamma 60.00
loop_
_atom_site_label
_atom_site_type_symbol
_atom_site_fract_x
_atom_site_fract_y
_atom_site_fract_z
Pd1 Pd 0.000 0.000 0.000
Tl1 Tl 0.250 0.250 0.250
Tm1 Tm 0.750 0.750 0.750
```

Which value of electronic total energy does entry 7 give?
-4.11 eV per atom